Record 1
A relaxed Ir2PtW crystal, computed with PBE.

Lattice parameters (Å, degrees): 9.245 9.245 9.245 17.26 17.26 17.26
Fractional positions:
Ir 0.000 0.000 0.000
Ir 0.250 0.250 0.250
Pt 0.753 0.753 0.753
W 0.503 0.503 0.503

Calculated values
Crystal system: trigonal
ΔE_f, eV/atom: -0.037
Calculated total energy, eV/atom: -9.216
Size of the total moment, μB/cell: 0.46

---

Record 2
A relaxed IrPtW2 crystal, computed with PBE.

Lattice parameters (Å, degrees): 4.463 4.463 4.463 60.00 60.00 60.00
Fractional positions:
Ir 0.000 0.000 0.000
Pt 0.250 0.250 0.250
W 0.500 0.500 0.500
W 0.750 0.750 0.750

Calculated values
Crystal system: cubic
ΔE_f, eV/atom: 0.113
Calculated total energy, eV/atom: -10.089
Size of the total moment, μB/cell: 0.00

---

Record 3
A relaxed Ir9PtW2 crystal, computed with PBE.

Lattice parameters (Å, degrees): 3.901 3.901 11.690 90.00 90.00 90.00
Fractional positions:
Ir 0.000 0.000 0.000
Ir 0.000 0.000 0.335
Ir 0.000 0.000 0.665
Ir 0.000 0.500 0.173
Ir 0.000 0.500 0.500
Ir 0.000 0.500 0.827
Ir 0.500 0.000 0.173
Ir 0.500 0.000 0.500
Ir 0.500 0.000 0.827
Pt 0.500 0.500 0.000
W 0.500 0.500 0.328
W 0.500 0.500 0.672

Calculated values
Crystal system: tetragonal
ΔE_f, eV/atom: -0.219
Calculated total energy, eV/atom: -9.527
Size of the total moment, μB/cell: 0.00

---

Record 4
A relaxed Ir2PtW crystal, computed with PBE.

Lattice parameters (Å, degrees): 2.754 3.972 5.520 90.00 90.00 90.00
Fractional positions:
Ir 0.000 0.000 0.000
Ir 0.500 0.500 0.246
Pt 0.000 0.000 0.503
W 0.500 0.500 0.761

Calculated values
Crystal system: orthorhombic
ΔE_f, eV/atom: -0.154
Calculated total energy, eV/atom: -9.333
Size of the total moment, μB/cell: 0.00

---

Record 5
A relaxed IrPtW2 crystal, computed with PBE.

Lattice parameters (Å, degrees): 4.811 4.808 3.984 65.57 65.49 48.94
Fractional positions:
Ir 0.000 0.000 0.000
Pt 0.250 0.250 0.250
W 0.500 0.500 0.500
W 0.750 0.750 0.750

Calculated values
Crystal system: orthorhombic
ΔE_f, eV/atom: -0.114
Calculated total energy, eV/atom: -10.316
Size of the total moment, μB/cell: 0.00

---

Record 6
A relaxed Ir2PtW crystal, computed with PBE.

Lattice parameters (Å, degrees): 9.257 9.257 9.257 17.26 17.26 17.26
Fractional positions:
Ir 0.247 0.247 0.247
Ir 0.753 0.753 0.753
Pt 0.000 0.000 0.000
W 0.500 0.500 0.500

Calculated values
Crystal system: trigonal
ΔE_f, eV/atom: -0.114
Calculated total energy, eV/atom: -9.293
Size of the total moment, μB/cell: 0.00